1.
The following is a PBE calculation of an optimized crystal structure of UTl2Te2O8, from Alexandria.

Cell lengths 5.5361, 8.5333, 21.4638 Å; angles 90.00, 91.91, 90.00 degrees
Sites, in units of the cell vectors:
1 Te 0.7786 0.4195 0.9474
2 Te 0.2786 0.0805 0.4474
3 Te 0.7678 0.9290 0.7700
4 Te 0.2322 0.0710 0.2300
5 Te 0.7214 0.9195 0.5526
6 Te 0.2678 0.5710 0.2700
7 Te 0.2214 0.5805 0.0526
8 Te 0.7322 0.4290 0.7300
9 O 0.3882 0.3251 0.8018
10 O 0.0105 0.5044 0.3235
11 O 0.4788 0.8704 0.6105
12 O 0.3731 0.7254 0.3263
13 O 0.0212 0.3704 0.8895
14 O 0.0795 0.6550 0.9776
15 O 0.8731 0.7746 0.8263
16 O 0.0136 0.9013 0.2116
17 O 0.1118 0.8251 0.6982
18 O 0.5212 0.1296 0.3895
19 O 0.9404 0.7472 0.5692
20 O 0.3473 0.5388 0.5822
21 O 0.9895 0.4956 0.6765
22 O 0.5136 0.5987 0.7116
23 O 0.6118 0.6749 0.1982
24 O 0.6527 0.4612 0.4178
25 O 0.9205 0.3450 0.0224
26 O 0.1527 0.0388 0.9178
27 O 0.4404 0.7528 0.0692
28 O 0.0596 0.2528 0.4308
29 O 0.6269 0.2746 0.6737
30 O 0.8473 0.9612 0.0822
31 O 0.1269 0.2254 0.1737
32 O 0.4864 0.4013 0.2884
33 O 0.5795 0.8450 0.4776
34 O 0.5105 0.9956 0.8235
35 O 0.4895 0.0044 0.1765
36 O 0.8882 0.1749 0.3018
37 O 0.5596 0.2472 0.9308
38 O 0.4205 0.1550 0.5224
39 O 0.9788 0.6296 0.1105
40 O 0.9864 0.0987 0.7884
41 Tl 0.7503 0.3902 0.5508
42 Tl 0.2497 0.6098 0.4492
43 Tl 0.2779 0.6676 0.8529
44 Tl 0.7779 0.8324 0.3529
45 Tl 0.2503 0.1098 0.0508
46 Tl 0.7221 0.3324 0.1471
47 Tl 0.2221 0.1676 0.6471
48 Tl 0.7497 0.8902 0.9492
49 U 0.2297 0.6785 0.6416
50 U 0.7297 0.8215 0.1416
51 U 0.2703 0.1785 0.8584
52 U 0.7703 0.3215 0.3584

Values from the calculation:
ρ = 6.751 g cm⁻³
E above lowest polymorph = 0.0 meV/atom
Total magnetic moment = 0.00 μB/f.u.
Electronic total energy = -6.416 eV/atom
Formation energy (no corrections) = -1.65 eV/atom



2.
The following is a PBE calculation of an optimized crystal structure of UTl2Te3O12, from Alexandria.

Cell lengths 7.7141, 7.7141, 7.7141 Å; angles 58.18, 58.18, 58.18 degrees
Sites, in units of the cell vectors:
1 Te 0.0000 0.0000 0.5000
2 Te 0.0000 0.5000 0.0000
3 Te 0.5000 0.0000 0.0000
4 O 0.9343 0.3244 0.9343
5 O 0.0657 0.6756 0.0657
6 O 0.6829 0.6829 0.0753
7 O 0.3171 0.3171 0.9247
8 O 0.0657 0.0657 0.6756
9 O 0.9343 0.9343 0.3244
10 O 0.3171 0.9247 0.3171
11 O 0.9247 0.3171 0.3171
12 O 0.3244 0.9343 0.9343
13 O 0.0753 0.6829 0.6829
14 O 0.6829 0.0753 0.6829
15 O 0.6756 0.0657 0.0657
16 U 0.0000 0.0000 0.0000
17 Tl 0.3964 0.3964 0.3964
18 Tl 0.6036 0.6036 0.6036

Values from the calculation:
ρ = 6.521 g cm⁻³
Total magnetic moment = 0.00 μB/f.u.
Electronic total energy = -6.126 eV/atom
Formation energy (no corrections) = -1.41 eV/atom



3.
The following is a PBE calculation of an optimized crystal structure of UTlTeO6, from Alexandria.

Cell lengths 7.6530, 7.9742, 7.7779 Å; angles 120.84, 119.47, 90.00 degrees
Sites, in units of the cell vectors:
1 O 0.8109 0.0609 0.6219
2 O 0.4230 0.6907 0.2407
3 O 0.5770 0.3093 0.7593
4 O 0.8177 0.6907 0.2407
5 O 0.1823 0.9500 0.7593
6 O 0.5770 0.9500 0.7593
7 O 0.4230 0.0500 0.2407
8 O 0.1823 0.3093 0.7593
9 O 0.8177 0.0500 0.2407
10 O 0.5640 0.3140 0.1280
11 O 0.4360 0.6860 0.8720
12 O 0.1891 0.9391 0.3781
13 U 0.5000 0.5000 0.0000
14 U 0.5000 0.0000 0.0000
15 Tl 0.9413 0.6913 0.8827
16 Tl 0.0587 0.3087 0.1173
17 Te 0.0000 0.0000 0.5000
18 Te 0.5000 0.0000 0.5000

Values from the calculation:
ρ = 6.622 g cm⁻³
Total magnetic moment = 0.00 μB/f.u.
Electronic total energy = -7.049 eV/atom
Formation energy (no corrections) = -1.88 eV/atom



4.
The following is a PBE calculation of an optimized crystal structure of UTlTe2O8, from Alexandria.

Cell lengths 6.4256, 6.4256, 7.6508 Å; angles 90.00, 90.00, 120.00 degrees
Sites, in units of the cell vectors:
1 O 0.3000 0.1500 0.1634
2 O 0.1500 0.3000 0.8366
3 O 0.7000 0.8500 0.8366
4 O 0.3333 0.6667 0.5580
5 O 0.8500 0.7000 0.1634
6 O 0.6667 0.3333 0.4420
7 O 0.8500 0.1500 0.1634
8 O 0.1500 0.8500 0.8366
9 Te 0.6667 0.3333 0.2056
10 Te 0.3333 0.6667 0.7944
11 U 0.0000 0.0000 0.0000
12 Tl 0.0000 0.0000 0.5000

Values from the calculation:
ρ = 5.011 g cm⁻³
Total magnetic moment = 0.00 μB/f.u.
Electronic total energy = -6.450 eV/atom
Formation energy (no corrections) = -1.48 eV/atom